Compound: SmHoAu
Source: Alexandria
Functional: GGA-PBE
Structure: relaxed

Properties
* magnetic moment: 0.00 μB per cell
* DFT total energy: -28.4 eV for the cell shown
* ΔE_f: -0.5497 eV per atom
* energy above the lowest structure with this stoichiometry: 67.4 meV per atom

CIF file:
```
data_SmHoAu
_chemical_formula_sum 'Sm2 Ho2 Au2'
_symmetry_space_group_name_H-M 'P 4/n m m'
_symmetry_Int_Tables_number 129
_cell_length_a 4.812
_cell_length_b 4.812
_cell_length_c 7.312
_cell_angle_alpha 90.00
_cell_angle_beta 90.00
_cell_angle_gamma 90.00
loop_
_symmetry_equiv_pos_as_xyz
'x,y,z'
'-x,-y,-z'
'-y+1/2,x,z'
'y+1/2,-x,-z'
'-x+1/2,-y+1/2,z'
'x+1/2,y+1/2,-z'
'y,-x+1/2,z'
'-y,x+1/2,-z'
'x+1/2,-y,-z'
'-x+1/2,y,z'
'-y,-x,-z'
'y,x,z'
'-x,y+1/2,-z'
'x,-y+1/2,z'
'y+1/2,x+1/2,-z'
'-y+1/2,-x+1/2,z'
loop_
_atom_site_label
_atom_site_fract_x
_atom_site_fract_y
_atom_site_fract_z
_atom_site_occupancy
Sm1 0.250 0.250 0.123 1
Ho1 0.250 0.750 0.500 1
Au1 0.250 0.250 0.731 1
```

=====

Compound: SmHo2Au
Source: Alexandria
Functional: GGA-PBE
Structure: relaxed

Properties
* magnetic moment: 0.00 μB per cell
* DFT total energy: -75.6 eV for the cell shown
* ΔE_f: -0.4357 eV per atom
* energy above the lowest structure with this stoichiometry: 0.0 meV per atom

CIF file:
```
data_SmHo2Au
_chemical_formula_sum 'Sm4 Ho8 Au4'
_symmetry_space_group_name_H-M 'P n m a'
_symmetry_Int_Tables_number 62
_cell_length_a 6.972
_cell_length_b 9.896
_cell_length_c 6.652
_cell_angle_alpha 90.00
_cell_angle_beta 90.00
_cell_angle_gamma 90.00
loop_
_symmetry_equiv_pos_as_xyz
'x,y,z'
'-x,-y,-z'
'-x+1/2,-y,z+1/2'
'x+1/2,y,-z+1/2'
'x+1/2,-y+1/2,-z+1/2'
'-x+1/2,y+1/2,z+1/2'
'-x,y+1/2,-z'
'x,-y+1/2,z'
loop_
_atom_site_label
_atom_site_fract_x
_atom_site_fract_y
_atom_site_fract_z
_atom_site_occupancy
Sm1 0.003 0.250 0.125 1
Ho1 0.186 0.053 0.683 1
Au1 0.103 0.750 0.438 1
```

=====

Compound: Sm2HoAu
Source: Alexandria
Functional: GGA-PBE
Structure: relaxed

Properties
* magnetic moment: 0.00 μB per cell
* DFT total energy: -18.7 eV for the cell shown
* ΔE_f: -0.3568 eV per atom
* energy above the lowest structure with this stoichiometry: 58.2 meV per atom

CIF file:
```
data_Sm2HoAu
_chemical_formula_sum 'Sm2 Ho1 Au1'
_symmetry_space_group_name_H-M 'P 4/m m m'
_symmetry_Int_Tables_number 123
_symmetry_space_group_name_Hall '-P 4 2'
_cell_length_a 3.692
_cell_length_b 3.692
_cell_length_c 8.468
_cell_angle_alpha 90.00
_cell_angle_beta 90.00
_cell_angle_gamma 90.00
loop_
_atom_site_label
_atom_site_fract_x
_atom_site_fract_y
_atom_site_fract_z
_atom_site_occupancy
Sm1 0.000 0.000 0.211 1
Ho1 0.500 0.500 0.500 1
Au1 0.500 0.500 0.000 1
```

=====

Question: Among the records above, which one has the lowest ΔE_f?
Answer: SmHoAu

=====

Question: Which of these has the lowest energy above the lowest structure with this stoichiometry?
Answer: SmHo2Au